Compound: FePOsO2
Source: Alexandria via LeMat-Bulk
Functional: GGA+U
Structure: relaxed

## Properties
The mass density comes out at 6.83 g/cm³. The total magnetization is 2.6 μB per cell. The energy above the most stable polymorph in this dataset comes out at 0 meV per atom. As for the crystal system: tetragonal.

Cell: 3.723 3.723 5.418 Å, 90.00 90.00 90.00°
Space group P4/mmm (No. 123)
Inequivalent atoms, fractional coordinates:
1 Fe 0.000 0.000 0.000 (multiplicity 1)
2 P 0.500 0.500 0.000 (multiplicity 1)
3 Os 0.500 0.500 0.500 (multiplicity 1)
4 O 0.000 0.500 0.500 (multiplicity 2)